## BaTiReMo2 (PBE-GGA)

Data for an optimized crystal structure of BaTiReMo2.

Structure (extended XYZ):
```
5
Lattice="4.820 0.000 0.000 0.000 4.849 0.000 0.000 0.000 4.820" Properties=species:S:1:pos:R:3 pbc="T T T"
Re 0.000 2.424 0.000
Mo 0.000 0.000 2.410
Mo 2.410 0.000 0.000
Ba 2.410 2.424 2.410
Ti 0.000 0.000 0.000
```

Output
The uncorrected energy comes out at -7.25 eV per atom. Its formation energy is 1.541 eV per atom. For the volume, the calculation gives 22.5 Å³/atom.